Material: PmSmPd4
Method: DFT, PBE-GGA
State: optimized geometry

```
PmSmPd4
1.0
2.130 -9.836 0.000
2.130 9.836 0.000
0.000 0.000 5.883
Pm Sm Pd
2 2 8
Cartesian
2.130 8.300 4.413
2.130 -8.300 1.471
2.130 5.423 1.471
2.130 -5.423 4.413
2.130 8.391 1.471
2.130 2.891 3.027
2.130 2.891 5.798
2.130 0.000 0.000
2.130 0.000 2.942
2.130 -2.891 0.085
2.130 -2.891 2.857
2.130 -8.391 4.413
```

Results
density of states at the Fermi level = 2.97 states/eV/cell
crystal system = orthorhombic
electronic total energy = -5.86 eV per atom
formation energy from the elements = -0.8207 eV/atom